1.
DFT (PBE-GGA) results for a relaxed Be2SbRu crystal.

Lattice parameters (Å, degrees): 3.1078 3.8187 5.0567 90.00 107.46 90.00
With the nearest neighbours (Å) after each atom.
Space group Pm (No. 6)
Symmetry-distinct sites (fractional):
Be 0.0000 0.0000 0.0000  2 Ru 2.28, 1 Sb 2.42, 4 Be 2.53
Be 0.4429 0.5000 0.8808  2 Ru 2.40, 4 Be 2.53
Sb 0.7432 0.0000 0.4974  1 Be 2.42, 2 Ru 2.71
Ru 0.1283 0.5000 0.2590  4 Be 2.28-2.40

Output
formation energy from raw total energies = 0.117 eV per atom
M_tot = 0.0 Bohr magnetons per cell
DFT total energy = -20.4 eV/cell

---

2.
DFT (PBE-GGA) results for a relaxed CaNb2InPt crystal.

Lattice parameters (Å, degrees): 4.9717 4.9717 5.3254 90.00 90.00 90.00
With the nearest neighbours (Å) after each atom.
Space group P4/mmm (No. 123)
Symmetry-distinct sites (fractional):
Ca 0.0000 0.0000 0.0000  2 Pt 2.66
Nb 0.0000 0.5000 0.5000  2 Pt 2.49
In 0.5000 0.5000 0.0000  4 Ca 3.52, 8 Nb 3.64
Pt 0.0000 0.0000 0.5000  4 Nb 2.49, 2 Ca 2.66

Output
M_tot = 0.4 Bohr magnetons per cell
E_form = 2.6 eV/f.u.
DFT total energy = -28.3 eV/cell